# 1
This record from the Alexandria database describes an optimized crystal structure of Re2RuAu. The functional is PBE.

Values from the calculation:
Relative energy among the computed polymorphs (meV/atom): 0

Geometry as CIF:
```
data_Re2RuAu
_chemical_formula_sum 'Re6 Ru3 Au3'
_space_group_name_H-M_alt 'R 3 m'
_space_group_IT_number 160
_space_group_name_Hall 'R 3 -2"'
_cell_length_a 2.7794
_cell_length_b 2.7794
_cell_length_c 27.7376
_cell_angle_alpha 90.00
_cell_angle_beta 90.00
_cell_angle_gamma 120.00
loop_
_atom_site_label
_atom_site_type_symbol
_atom_site_fract_x
_atom_site_fract_y
_atom_site_fract_z
Re1 Re 0.0000 0.0000 0.0000
Re2 Re 0.0000 0.0000 0.2542
Ru1 Ru 0.0000 0.0000 0.7439
Au1 Au 0.0000 0.0000 0.4986
```



# 2
This record from the Alexandria database describes an optimized crystal structure of VFe2Co5Mo2. The functional is PBE.

Geometry as CIF:
```
data_VFe2Co5Mo2
_chemical_formula_sum 'V2 Fe4 Co10 Mo4'
_space_group_name_H-M_alt 'P 4/m b m'
_space_group_IT_number 127
_space_group_name_Hall '-P 4 2ab'
_cell_length_a 8.0770
_cell_length_b 8.0770
_cell_length_c 3.7310
_cell_angle_alpha 90.00
_cell_angle_beta 90.00
_cell_angle_gamma 90.00
loop_
_atom_site_label
_atom_site_type_symbol
_atom_site_fract_x
_atom_site_fract_y
_atom_site_fract_z
V1 V 0.0000 0.0000 0.0000
Fe1 Fe 0.1272 0.3728 0.0000
Co1 Co 0.0000 0.5000 0.5000
Co2 Co 0.0673 0.2018 0.5000
Mo1 Mo 0.1702 0.6702 0.0000
```



# 3
This record from the Alexandria database describes an optimized crystal structure of BaCa2Zn. The functional is PBE.

Geometry as CIF:
```
data_BaCa2Zn
_chemical_formula_sum 'Ba1 Ca2 Zn1'
_space_group_name_H-M_alt 'P 4 m m'
_space_group_IT_number 99
_cell_length_a 3.9632
_cell_length_b 3.9632
_cell_length_c 9.6322
_cell_angle_alpha 90.00
_cell_angle_beta 90.00
_cell_angle_gamma 90.00
loop_
_space_group_symop_operation_xyz
'x,y,z'
'-y,x,z'
'-x,-y,z'
'y,-x,z'
'-x,y,z'
'y,x,z'
'x,-y,z'
'-y,-x,z'
loop_
_atom_site_label
_atom_site_type_symbol
_atom_site_fract_x
_atom_site_fract_y
_atom_site_fract_z
Ba1 Ba 0.0000 0.0000 0.0000
Ca1 Ca 0.0000 0.0000 0.6160
Ca2 Ca 0.5000 0.5000 0.3365
Zn1 Zn 0.5000 0.5000 0.7734
```



Let's list Fermi-level density of states in order: 14.143; 26.939; 5.312 states/eV/cell.
Let's list energy of formation from the pure elements in order: 0.2127; 0.1391; -0.0871 eV per atom.